1.
{
  "formula": "In2AgCl",
  "functional": "PBEsol",
  "state": "optimized geometry",
  "formation_energy_uncorrected_ev_per_atom": -0.25,
  "space_group": "No. 65",
  "vol_a3_per_cell": 87.0,
  "cell": [[3.749, -3.754, 0.000], [3.749, 3.754, 0.000], [0.000, 0.000, 3.090]],
  "species": ["In", "In", "Ag", "Cl"],
  "frac_coords": [[0.000, 0.500, 0.000], [0.500, 0.000, 0.000], [0.000, 0.000, 0.500], [0.500, 0.500, 0.500]]
}

2.
{
  "formula": "ZrSnNF2",
  "functional": "PBEsol",
  "state": "optimized geometry",
  "formation_energy_uncorrected_ev_per_atom": -1.67,
  "space_group": "No. 123",
  "vol_a3_per_cell": 76.5,
  "cell": [[4.250, 0.000, 0.000], [0.000, 4.250, 0.000], [0.000, 0.000, 4.234]],
  "species": ["Zr", "Sn", "N", "F", "F"],
  "frac_coords": [[0.000, 0.000, 0.000], [0.500, 0.500, 0.500], [0.000, 0.000, 0.500], [0.000, 0.500, 0.000], [0.500, 0.000, 0.000]]
}

3.
{
  "formula": "Sc2RhPb",
  "functional": "PBEsol",
  "state": "optimized geometry",
  "space_group": "No. 99",
  "ef_mev_per_atom": -310,
  "vol_a3_per_cell": 81.0,
  "cell": [[3.324, 0.000, 0.000], [0.000, 3.324, 0.000], [0.000, 0.000, 7.332]],
  "species": ["Sc", "Sc", "Rh", "Pb"],
  "frac_coords": [[0.000, 0.000, 0.000], [0.500, 0.500, 0.301], [0.500, 0.500, 0.809], [0.000, 0.000, 0.576]]
}